Entry 1:
Below is crystalline Fe2SiIr at its relaxed geometry, with properties calculated at the PBE level.

Values from the calculation:
The density of states at the Fermi level comes out at 3.328 states/eV per cell. The value obtained for the magnetic moment is 3.61 μB per formula unit. The total DFT energy (no corrections) is -0.5798 Ry/atom. The value obtained for the uncorrected formation energy is -0.0863 eV/atom.

Cell and atoms, written as POSCAR:
```
Fe2SiIr
1.0
-3.618 6.284 3.243
-4.694 6.366 0.734
-5.795 4.749 2.640
Fe Ir Si
2 1 1
Direct
0.003 0.003 0.003 Fe
0.255 0.255 0.255 Fe
0.496 0.496 0.496 Ir
0.746 0.746 0.746 Si
```

---

Entry 2:
Below is crystalline Fe2SiIr at its relaxed geometry, with properties calculated at the PBE level.

Values from the calculation:
The density of states at the Fermi level comes out at 1.989 states/eV per cell. The value obtained for the magnetic moment is 4.70 μB per formula unit. The total DFT energy (no corrections) is -0.5975 Ry/atom. The value obtained for the uncorrected formation energy is -0.3268 eV/atom.

Cell and atoms, written as POSCAR:
```
Fe2SiIr
1.0
-3.052 -0.114 2.759
-0.635 -3.403 2.226
0.864 -0.017 4.024
Si Ir Fe
1 1 2
Direct
0.750 0.750 0.750 Si
0.500 0.500 0.500 Ir
0.000 0.000 0.000 Fe
0.250 0.250 0.250 Fe
```

---

Entry 3:
Below is crystalline Fe2SiIr at its relaxed geometry, with properties calculated at the PBE level.

Values from the calculation:
The density of states at the Fermi level comes out at 4.501 states/eV per cell. The value obtained for the magnetic moment is 1.19 μB per formula unit. The total DFT energy (no corrections) is -0.5874 Ry/atom. The value obtained for the uncorrected formation energy is -0.1895 eV/atom.

Cell and atoms, written as POSCAR:
```
Fe2SiIr
1.0
-1.876 -0.227 -4.052
2.693 -2.104 -2.884
-1.477 -1.051 4.087
Fe Ir Si
2 1 1
Direct
0.000 0.000 0.000 Fe
0.500 0.500 0.000 Fe
0.250 0.750 0.500 Ir
0.750 0.250 0.500 Si
```

---

Entry 4:
Below is crystalline Fe2SiIr at its relaxed geometry, with properties calculated at the PBE level.

Values from the calculation:
The density of states at the Fermi level comes out at 1.399 states/eV per cell. The value obtained for the magnetic moment is 4.71 μB per formula unit. The total DFT energy (no corrections) is -0.5967 Ry/atom. The value obtained for the uncorrected formation energy is -0.3157 eV/atom.

Cell and atoms, written as POSCAR:
```
Fe2SiIr
1.0
2.913 0.000 0.000
0.000 2.913 0.000
0.000 0.000 5.777
Si Ir Fe
1 1 2
Direct
0.500 0.500 0.770 Si
0.000 0.000 0.516 Ir
0.000 0.000 0.993 Fe
0.500 0.500 0.221 Fe
```

---

Entry 5:
Below is crystalline FeSiIr2 at its relaxed geometry, with properties calculated at the PBE level.

Values from the calculation:
The density of states at the Fermi level comes out at 4.434 states/eV per cell. The value obtained for the magnetic moment is 2.26 μB per formula unit. The total DFT energy (no corrections) is -0.5918 Ry/atom. The value obtained for the uncorrected formation energy is -0.1504 eV/atom.

Cell and atoms, written as POSCAR:
```
FeSiIr2
1.0
-3.163 1.069 7.608
-5.482 0.545 6.219
-3.937 -1.534 7.154
Fe Ir Si
1 2 1
Direct
0.755 0.755 0.755 Fe
0.005 0.005 0.005 Ir
0.242 0.242 0.242 Ir
0.498 0.498 0.498 Si
```

---

Entry 6:
Below is crystalline Fe2SiIr at its relaxed geometry, with properties calculated at the PBE level.

Values from the calculation:
The density of states at the Fermi level comes out at 4.210 states/eV per cell. The value obtained for the magnetic moment is 4.34 μB per formula unit. The total DFT energy (no corrections) is -0.5868 Ry/atom. The value obtained for the uncorrected formation energy is -0.1814 eV/atom.

Cell and atoms, written as POSCAR:
```
Fe2SiIr
1.0
-1.848 3.157 2.591
-2.600 -1.234 -3.436
-1.131 -1.930 1.547
Fe Ir Si
2 1 1
Direct
0.000 0.000 0.000 Fe
0.500 0.500 0.000 Fe
0.500 0.000 0.500 Ir
0.000 0.500 0.500 Si
```

---

> magnetic moment of number 6 (Fe2SiIr)?

4.34 μB per formula unit